[1]
This record from Alexandria describes MnBe after structural relaxation. The functional is PBEsol.

## Properties
- formation energy from the elements (kJ/mol of atoms) = 165.7
- space-group type = F-43m (216)
- DOS(E_F) (states/eV/f.u.) = 2.3

Cell lengths 4.9109, 4.9109, 4.9109 Å; angles 90.00, 90.00, 90.00 degrees
With the nearest neighbours (Å) after each atom.
Positions (direct):
Mn1 0.0000 0.0000 0.0000  4 Be 2.13
Mn2 0.0000 0.5000 0.5000  4 Be 2.13
Mn3 0.5000 0.0000 0.5000  4 Be 2.13
Mn4 0.5000 0.5000 0.0000  4 Be 2.13
Be1 0.2500 0.2500 0.2500  4 Mn 2.13
Be2 0.2500 0.7500 0.7500  4 Mn 2.13
Be3 0.7500 0.2500 0.7500  4 Mn 2.13
Be4 0.7500 0.7500 0.2500  4 Mn 2.13

[2]
This record from Alexandria describes MnBe2 after structural relaxation. The functional is PBEsol.

## Properties
- formation energy from the elements (kJ/mol of atoms) = -0.6
- space-group type = C2/m (12)
- DOS(E_F) (states/eV/f.u.) = 2.0

Cell lengths 8.2694, 2.2595, 5.8578 Å; angles 90.00, 110.47, 90.00 degrees
With the nearest neighbours (Å) after each atom.
Positions (direct):
Mn1 0.1625 0.0000 0.1262  2 Mn 2.26, 8 Be 2.29-2.39
Mn2 0.3375 0.5000 0.8738  2 Mn 2.26, 8 Be 2.29-2.39
Mn3 0.6625 0.5000 0.1262  2 Mn 2.26, 8 Be 2.29-2.39
Mn4 0.8375 0.0000 0.8738  2 Mn 2.26, 8 Be 2.29-2.39
Be1 0.0424 0.5000 0.7584  6 Be 2.18-2.26, 5 Mn 2.29-2.33
Be2 0.1507 0.0000 0.5273  8 Be 2.11-2.26
Be3 0.3493 0.5000 0.4727  8 Be 2.11-2.26
Be4 0.4576 0.0000 0.2416  6 Be 2.18-2.26, 5 Mn 2.29-2.33
Be5 0.5424 0.0000 0.7584  6 Be 2.18-2.26, 5 Mn 2.29-2.33
Be6 0.6507 0.5000 0.5273  8 Be 2.11-2.26
Be7 0.8493 0.0000 0.4727  8 Be 2.11-2.26
Be8 0.9576 0.5000 0.2416  6 Be 2.18-2.26, 5 Mn 2.29-2.33

[3]
This record from Alexandria describes MnBe7 after structural relaxation. The functional is PBEsol.

## Properties
- formation energy from the elements (kJ/mol of atoms) = 0.8
- space-group type = Fm-3m (225)
- DOS(E_F) (states/eV/f.u.) = 3.4

Cell lengths 4.5441, 4.5441, 4.5441 Å; angles 60.00, 60.00, 60.00 degrees
With the nearest neighbours (Å) after each atom.
Positions (direct):
Mn1 0.0000 0.0000 0.0000  12 Be 2.27
Be1 0.0000 0.0000 0.5000  2 Mn 2.27, 10 Be 2.27
Be2 0.0000 0.5000 0.0000  2 Mn 2.27, 10 Be 2.27
Be3 0.0000 0.5000 0.5000  2 Mn 2.27, 10 Be 2.27
Be4 0.5000 0.0000 0.0000  2 Mn 2.27, 10 Be 2.27
Be5 0.5000 0.0000 0.5000  2 Mn 2.27, 10 Be 2.27
Be6 0.5000 0.5000 0.0000  2 Mn 2.27, 10 Be 2.27
Be7 0.5000 0.5000 0.5000  12 Be 2.27